Here is a relaxed TbB2Mo2 crystal from the Open Quantum Materials Database. Energies are from PBE.

a b c (Å): 3.6821 3.6821 10.2847
angles (deg): 90.00 90.00 90.00
With the nearest neighbours (Å) after each atom.
Space group I4/mmm (No. 139)
One atom of each set of equivalent atoms:
1 Tb 0.0000 0.0000 0.0000  8 B 2.77
2 B 0.0000 0.0000 0.4091  1 B 1.87
3 Mo 0.0000 0.5000 0.2500  4 B 2.46, 4 Mo 2.60

## Properties
- DFT total energy (eV per atom) = -8.25
- crystal system = tetragonal

Here is a relaxed TcB2Mo crystal from the Open Quantum Materials Database. Energies are from PBE.

a b c (Å): 5.6616 5.6616 5.6616
angles (deg): 90.00 90.00 90.00
With the nearest neighbours (Å) after each atom.
Space group F-43m (No. 216)
One atom of each set of equivalent atoms:
1 Tc 0.0000 0.0000 0.0000  4 Mo 2.45, 4 B 2.45
2 B 0.0000 0.0000 0.5000  4 Mo 2.45, 4 B 2.45
3 B 0.2500 0.2500 0.2500  4 Tc 2.45, 4 B 2.45
4 Mo 0.2500 0.2500 0.7500  4 Tc 2.45, 4 B 2.45

## Properties
- DFT total energy (eV per atom) = -7.70
- crystal system = cubic

Here is a relaxed TcBMo crystal from the Open Quantum Materials Database. Energies are from PBE.

a b c (Å): 5.6329 5.6329 5.6329
angles (deg): 90.00 90.00 90.00
With the nearest neighbours (Å) after each atom.
Space group F-43m (No. 216)
One atom of each set of equivalent atoms:
1 Tc 0.0000 0.0000 0.0000  4 Mo 2.44, 4 B 2.44
2 B 0.2500 0.2500 0.7500  4 Tc 2.44
3 Mo 0.2500 0.2500 0.2500  4 Tc 2.44

## Properties
- DFT total energy (eV per atom) = -8.44
- crystal system = cubic
- distance to the lowest polymorph of the same formula (eV per atom) = 0.000

Here is a relaxed B2TeMo crystal from the Open Quantum Materials Database. Energies are from PBE.

a b c (Å): 6.1239 6.1239 6.1239
angles (deg): 90.00 90.00 90.00
With the nearest neighbours (Å) after each atom.
Space group F-43m (No. 216)
One atom of each set of equivalent atoms:
1 B 0.0000 0.0000 0.0000  4 Mo 2.65, 4 B 2.65
2 B 0.2500 0.2500 0.2500  4 Te 2.65, 4 B 2.65
3 Te 0.0000 0.0000 0.5000  4 Mo 2.65, 4 B 2.65
4 Mo 0.2500 0.2500 0.7500  4 Te 2.65, 4 B 2.65

## Properties
- DFT total energy (eV per atom) = -5.06
- crystal system = cubic

Here is a relaxed TlB2Mo crystal from the Open Quantum Materials Database. Energies are from PBE.

a b c (Å): 6.1158 6.1158 6.1158
angles (deg): 90.00 90.00 90.00
With the nearest neighbours (Å) after each atom.
Space group F-43m (No. 216)
One atom of each set of equivalent atoms:
1 Tl 0.0000 0.0000 0.0000  4 Mo 2.65, 4 B 2.65
2 B 0.0000 0.0000 0.5000  4 Mo 2.65, 4 B 2.65
3 B 0.2500 0.2500 0.7500  4 Tl 2.65, 4 B 2.65
4 Mo 0.2500 0.2500 0.2500  4 Tl 2.65, 4 B 2.65

## Properties
- DFT total energy (eV per atom) = -4.55
- crystal system = cubic

Here is a relaxed Tl2BMo crystal from the Open Quantum Materials Database. Energies are from PBE.

a b c (Å): 6.6979 6.6979 6.6979
angles (deg): 90.00 90.00 90.00
With the nearest neighbours (Å) after each atom.
Space group F-43m (No. 216)
One atom of each set of equivalent atoms:
1 Tl 0.0000 0.0000 0.0000  4 Tl 2.90, 4 Mo 2.90
2 Tl 0.2500 0.2500 0.2500  4 B 2.90, 4 Tl 2.90
3 B 0.0000 0.0000 0.5000  4 Mo 2.90, 4 Tl 2.90
4 Mo 0.2500 0.2500 0.7500  4 Tl 2.90, 4 B 2.90

## Properties
- DFT total energy (eV per atom) = -3.92
- crystal system = cubic

Here is a relaxed TlB3Mo4 crystal from the Open Quantum Materials Database. Energies are from PBE.

a b c (Å): 3.1592 3.1592 24.6484
angles (deg): 90.00 90.00 120.00
With the nearest neighbours (Å) after each atom.
Space group P6_3/mmc (No. 194)
One atom of each set of equivalent atoms:
1 Tl 0.3333 0.6667 0.2500  6 Mo 3.03, 6 Tl 3.16
2 B 0.0000 0.0000 0.0000  6 Mo 2.25
3 B 0.3333 0.6667 0.6060  6 Mo 2.15-2.23
4 Mo 0.0000 0.0000 0.1518  3 B 2.15
5 Mo 0.3333 0.6667 0.0536  6 B 2.23-2.25

## Properties
- DFT total energy (eV per atom) = -8.36
- crystal system = hexagonal

Here is a relaxed TlBMo crystal from the Open Quantum Materials Database. Energies are from PBE.

a b c (Å): 5.7067 5.7067 5.7067
angles (deg): 90.00 90.00 90.00
With the nearest neighbours (Å) after each atom.
Space group F-43m (No. 216)
One atom of each set of equivalent atoms:
1 Tl 0.0000 0.0000 0.0000  4 B 2.47
2 B 0.2500 0.2500 0.7500  4 Tl 2.47, 4 Mo 2.47
3 Mo 0.0000 0.0000 0.5000  4 B 2.47

## Properties
- DFT total energy (eV per atom) = -5.56
- crystal system = cubic
- distance to the lowest polymorph of the same formula (eV per atom) = 0.000